VASP calculation (GGA-PBE) on Pm4Th3Ge4 after structural relaxation.

* total magnetization: 0.00 μB per cell
* DFT formation energy: -0.58 eV per atom
* raw total energy: -6.01 eV per atom

abc: 9.8654 9.8654 9.8654
angles: 156.60 127.32 58.40
Atoms (fractional coordinates):
Pm 0.0041 0.8290 0.1752
Pm 0.3462 0.1710 0.1752
Pm 0.6538 0.8290 0.8248
Pm 0.9959 0.1710 0.8248
Th 0.0000 0.5000 0.5000
Th 0.4065 0.4065 0.0000
Th 0.5935 0.5935 0.0000
Ge 0.2742 0.7742 0.5000
Ge 0.2802 0.0000 0.2802
Ge 0.7198 0.0000 0.7198
Ge 0.7258 0.2258 0.5000

---

VASP calculation (GGA-PBE) on PmTh4Ge5 after structural relaxation.

* total magnetization: 0.00 μB per cell
* DFT formation energy: -0.76 eV per atom
* raw total energy: -6.51 eV per atom

abc: 11.3743 11.3743 11.3743
angles: 158.29 149.02 38.15
Atoms (fractional coordinates):
Pm 0.0000 0.0000 0.0000
Th 0.1994 0.1994 0.0000
Th 0.4007 0.4007 0.0000
Th 0.5993 0.5993 0.0000
Th 0.8006 0.8006 0.0000
Ge 0.0999 0.5999 0.5000
Ge 0.3000 0.8000 0.5000
Ge 0.5000 0.0000 0.5000
Ge 0.7000 0.2000 0.5000
Ge 0.9001 0.4001 0.5000

---

VASP calculation (GGA-PBE) on Pm2ThGe after structural relaxation.

* total magnetization: 0.00 μB per cell
* DFT formation energy: 0.00 eV per atom
* raw total energy: -5.38 eV per atom
* energy above the lowest structure with this stoichiometry: 312 meV/atom

abc: 11.4115 11.4115 11.4115
angles: 17.93 17.93 17.93
Atoms (fractional coordinates):
Pm 0.1024 0.1024 0.1024
Pm 0.8976 0.8976 0.8976
Th 0.0000 0.0000 0.0000
Ge 0.5000 0.5000 0.5000

---

VASP calculation (GGA-PBE) on Pm4ThGe4 after structural relaxation.

* total magnetization: 0.15 μB per cell
* DFT formation energy: -0.60 eV per atom
* raw total energy: -5.59 eV per atom

abc: 7.3316 7.3316 7.3316
angles: 99.59 99.59 131.82
Atoms (fractional coordinates):
Pm 0.0999 0.3023 0.4023
Pm 0.3023 0.9001 0.2024
Pm 0.6977 0.0999 0.7976
Pm 0.9001 0.6977 0.5977
Th 0.5000 0.5000 0.0000
Ge 0.2043 0.6009 0.8052
Ge 0.3991 0.2043 0.6034
Ge 0.6009 0.7957 0.3966
Ge 0.7957 0.3991 0.1948

---

VASP calculation (GGA-PBE) on PmThGe2 after structural relaxation.

* total magnetization: 0.04 μB per cell
* DFT formation energy: -0.62 eV per atom
* raw total energy: -5.97 eV per atom

abc: 5.5167 5.5167 3.2271
angles: 90.00 90.00 90.00
Atoms (fractional coordinates):
Pm 0.0000 0.0000 0.0000
Th 0.5000 0.5000 0.0000
Ge 0.0000 0.5000 0.5000
Ge 0.5000 0.0000 0.5000

---

VASP calculation (GGA-PBE) on Pm2ThGe2 after structural relaxation.

* total magnetization: 0.00 μB per cell
* DFT formation energy: -0.43 eV per atom
* raw total energy: -5.66 eV per atom
* energy above the lowest structure with this stoichiometry: 268 meV/atom

abc: 7.7818 7.7818 5.8300
angles: 111.99 111.99 95.94
Atoms (fractional coordinates):
Pm 0.0572 0.2821 0.4244
Pm 0.2821 0.0572 0.9244
Pm 0.7179 0.9428 0.0756
Pm 0.9428 0.7179 0.5756
Th 0.3755 0.6245 0.2500
Th 0.6245 0.3755 0.7500
Ge 0.1168 0.8832 0.2500
Ge 0.3525 0.6475 0.7500
Ge 0.6475 0.3525 0.2500
Ge 0.8832 0.1168 0.7500

---

VASP calculation (GGA-PBE) on PmTh2Ge2 after structural relaxation.

* total magnetization: 0.00 μB per cell
* DFT formation energy: -0.71 eV per atom
* raw total energy: -6.47 eV per atom

abc: 7.9264 7.9264 4.2359
angles: 90.00 90.00 90.00
Atoms (fractional coordinates):
Pm 0.0000 0.0000 0.0000
Pm 0.5000 0.5000 0.0000
Th 0.1761 0.3239 0.5000
Th 0.3239 0.8239 0.5000
Th 0.6761 0.1761 0.5000
Th 0.8239 0.6761 0.5000
Ge 0.1230 0.6230 0.0000
Ge 0.3770 0.1230 0.0000
Ge 0.6230 0.8770 0.0000
Ge 0.8770 0.3770 0.0000

---

VASP calculation (GGA-PBE) on PmThTlGe after structural relaxation.

* total magnetization: 0.00 μB per cell
* DFT formation energy: -0.32 eV per atom
* raw total energy: -5.11 eV per atom

abc: 5.3583 5.3583 5.3583
angles: 60.00 60.00 60.00
Atoms (fractional coordinates):
Pm 0.0000 0.0000 0.0000
Th 0.5000 0.5000 0.5000
Tl 0.2500 0.2500 0.2500
Ge 0.7500 0.7500 0.7500

---

> DFT formation energy of number 1 (Pm4Th3Ge4)?

-0.58 eV per atom

---

> Which of these has the lowest raw total energy?

PmTh4Ge5

---

> Which of these has the highest raw total energy?

PmThTlGe

---

> DFT formation energy of number 7 (PmTh2Ge2)?

-0.71 eV per atom